LaSnPt at its PBEsol-relaxed geometry, computed with SCAN.

a = 7.590 Å, b = 7.590 Å, c = 4.159 Å
α = 90.00°, β = 90.00°, γ = 120.00°
Element x y z (fractional)
La  0.000  0.586  0.000
La  0.414  0.414  0.000
La  0.586  0.000  0.000
Sn  0.000  0.250  0.500
Sn  0.250  0.000  0.500
Sn  0.750  0.750  0.500
Pt  0.000  0.000  0.000
Pt  0.333  0.667  0.500
Pt  0.667  0.333  0.500

Values from the calculation:
symmetry = P-62m
calculated formation energy = -1.261 eV per atom
V = 69.2 Å³/f.u.
final energy = -51.001 eV/atom
DOS(E_F) = 0.6 states/eV/f.u.


La2Ag at its PBEsol-relaxed geometry, computed with SCAN.

a = 6.405 Å, b = 6.405 Å, c = 6.405 Å
α = 145.58°, β = 145.58°, γ = 49.47°
Element x y z (fractional)
La  0.154  0.154  0.000
La  0.846  0.846  0.000
Ag  0.500  0.500  0.000

Values from the calculation:
symmetry = I4/mmm
calculated formation energy = -0.175 eV per atom
V = 83.6 Å³/f.u.
final energy = -39.367 eV/atom
DOS(E_F) = 2.8 states/eV/f.u.


Ni3MoH at its PBEsol-relaxed geometry, computed with SCAN.

a = 4.428 Å, b = 4.428 Å, c = 4.428 Å
α = 90.00°, β = 90.00°, γ = 90.00°
Element x y z (fractional)
Ni  0.000  0.000  0.500
Ni  0.000  0.500  0.000
Ni  0.500  0.000  0.000
Mo  0.000  0.000  0.000
H  0.500  0.500  0.500

Values from the calculation:
symmetry = Pm-3m
V = 86.8 Å³/f.u.
final energy = -15.248 eV/atom
DOS(E_F) = 5.4 states/eV/f.u.